# 1
{
  "formula": "ZrGaTe3",
  "functional": "PBE-GGA",
  "state": "optimized geometry",
  "lattice": [[7.2625, 0.0000, 0.0000], [3.6292, 6.3947, 0.0000], [2.8547, -0.0170, 6.8828]],
  "species": ["Zr", "Zr", "Ga", "Ga", "Te", "Te", "Te", "Te", "Te", "Te"],
  "fractional_positions": [[0.1764, 0.1454, 0.0000], [0.8236, 0.8546, 0.0000], [0.3576, 0.5001, 0.3420], [0.6424, 0.4999, 0.6580], [0.0361, 0.8592, 0.2569], [0.2393, 0.4995, 0.7523], [0.3946, 0.1414, 0.2564], [0.6054, 0.8586, 0.7436], [0.7607, 0.5005, 0.2477], [0.9639, 0.1408, 0.7431]],
  "space_group": "P-1 (2)",
  "n_ef_per_ev_atom": 0.34,
  "polymorph_energy_ev_per_fu": 0.00,
  "formation_energy_uncorrected_ev_per_atom": -0.545,
  "dft_energy_ev_per_fu": -23.727
}

***

# 2
{
  "formula": "RbPuCoSe3",
  "functional": "PBE-GGA",
  "state": "optimized geometry",
  "lattice": [[9.4896, 0.0000, 0.0000], [0.0000, 4.0808, 0.0000], [-3.3753, 0.0000, 9.1203]],
  "species": ["Rb", "Rb", "Pu", "Pu", "Co", "Co", "Se", "Se", "Se", "Se", "Se", "Se"],
  "fractional_positions": [[0.2031, 0.2500, 0.2355], [0.7969, 0.7500, 0.7645], [0.3227, 0.7500, 0.8439], [0.6773, 0.2500, 0.1561], [0.0771, 0.2500, 0.5843], [0.9229, 0.7500, 0.4157], [0.1170, 0.2500, 0.8450], [0.1845, 0.7500, 0.5298], [0.4658, 0.7500, 0.1580], [0.5342, 0.2500, 0.8420], [0.8155, 0.2500, 0.4702], [0.8830, 0.7500, 0.1550]],
  "space_group": "P2_1/m (11)",
  "n_ef_per_ev_atom": 1.88,
  "formation_energy_uncorrected_ev_per_atom": -1.026,
  "dft_energy_ev_per_fu": -39.016
}

***

# 3
{
  "formula": "CePr4Se6",
  "functional": "PBE-GGA",
  "state": "optimized geometry",
  "lattice": [[2.0888, -7.0072, 0.0000], [2.0888, 7.0072, 0.0000], [0.0000, 0.0000, 21.4242]],
  "species": ["Ce", "Ce", "Pr", "Pr", "Pr", "Pr", "Pr", "Pr", "Pr", "Pr", "Se", "Se", "Se", "Se", "Se", "Se", "Se", "Se", "Se", "Se", "Se", "Se"],
  "fractional_positions": [[0.1566, 0.8434, 0.7500], [0.8434, 0.1566, 0.2500], [0.0887, 0.9113, 0.1286], [0.0887, 0.9113, 0.3714], [0.3588, 0.6412, 0.0400], [0.3588, 0.6412, 0.4600], [0.6412, 0.3588, 0.5400], [0.6412, 0.3588, 0.9600], [0.9113, 0.0887, 0.6286], [0.9113, 0.0887, 0.8714], [0.0000, 0.0000, 0.0000], [0.0000, 0.0000, 0.5000], [0.1923, 0.8077, 0.2500], [0.2695, 0.7305, 0.5922], [0.2695, 0.7305, 0.9078], [0.4473, 0.5527, 0.1691], [0.4473, 0.5527, 0.3309], [0.5527, 0.4473, 0.6691], [0.5527, 0.4473, 0.8309], [0.7305, 0.2695, 0.0922], [0.7305, 0.2695, 0.4078], [0.8077, 0.1923, 0.7500]],
  "space_group": "Cmcm (63)",
  "n_ef_per_ev_atom": 0.86,
  "formation_energy_uncorrected_ev_per_atom": -1.847,
  "dft_energy_ev_per_fu": -66.271
}

***

# 4
{
  "formula": "CrRh3Cl",
  "functional": "PBE-GGA",
  "state": "optimized geometry",
  "lattice": [[4.3640, 0.0000, 0.0000], [0.0000, 4.3640, 0.0000], [0.0000, 0.0000, 4.3640]],
  "species": ["Cr", "Rh", "Rh", "Rh", "Cl"],
  "fractional_positions": [[0.0000, 0.0000, 0.0000], [0.0000, 0.5000, 0.5000], [0.5000, 0.0000, 0.5000], [0.5000, 0.5000, 0.0000], [0.5000, 0.5000, 0.5000]],
  "space_group": "Pm-3m (221)",
  "n_ef_per_ev_atom": 2.62,
  "polymorph_energy_ev_per_fu": 0.51,
  "formation_energy_uncorrected_ev_per_atom": 1.201,
  "dft_energy_ev_per_fu": -27.518
}

***

# 5
{
  "formula": "KB2H7",
  "functional": "PBE-GGA",
  "state": "optimized geometry",
  "lattice": [[2.3567, -6.5185, 0.0000], [2.3567, 6.5185, 0.0000], [0.0000, 0.0000, 3.0065]],
  "species": ["K", "B", "B", "H", "H", "H", "H", "H", "H", "H"],
  "fractional_positions": [[0.0000, 0.0000, 0.0000], [0.3895, 0.6105, 0.5000], [0.6105, 0.3895, 0.5000], [0.1191, 0.4311, 0.5000], [0.4082, 0.5918, 0.0000], [0.4311, 0.1191, 0.5000], [0.5000, 0.5000, 0.5000], [0.5689, 0.8809, 0.5000], [0.5918, 0.4082, 0.0000], [0.8809, 0.5689, 0.5000]],
  "space_group": "Cmmm (65)",
  "n_ef_per_ev_atom": 0.12,
  "dft_energy_ev_per_fu": -37.295
}

***

# 6
{
  "formula": "BaCd5Ag2",
  "functional": "PBE-GGA",
  "state": "optimized geometry",
  "lattice": [[-2.2649, 4.1665, 5.4421], [2.2649, -4.1665, 5.4421], [2.2649, 4.1665, -5.4421]],
  "species": ["Ba", "Cd", "Cd", "Cd", "Cd", "Cd", "Ag", "Ag"],
  "fractional_positions": [[0.0000, 0.0000, 0.0000], [0.1664, 0.3523, 0.8141], [0.4618, 0.6477, 0.8141], [0.5000, 0.0000, 0.5000], [0.5382, 0.3523, 0.1859], [0.8336, 0.6477, 0.1859], [0.2438, 0.7438, 0.5000], [0.7562, 0.2562, 0.5000]],
  "space_group": "Immm (71)",
  "n_ef_per_ev_atom": 0.46,
  "delta_e_f_ev_per_fu": -1.478,
  "dft_energy_ev_per_fu": -13.679
}

***

# 7
{
  "formula": "CaPm4Tm3S8",
  "functional": "PBE-GGA",
  "state": "optimized geometry",
  "lattice": [[3.9276, 2.2676, 6.5664], [-3.9276, 2.2676, 6.5664], [0.0000, -4.5352, 6.5664]],
  "species": ["Ca", "Pm", "Pm", "Pm", "Pm", "Tm", "Tm", "Tm", "S", "S", "S", "S", "S", "S", "S", "S"],
  "fractional_positions": [[0.0000, 0.0000, 0.0000], [0.0000, 0.0000, 0.5000], [0.0000, 0.5000, 0.0000], [0.5000, 0.0000, 0.0000], [0.5000, 0.5000, 0.5000], [0.0000, 0.5000, 0.5000], [0.5000, 0.0000, 0.5000], [0.5000, 0.5000, 0.0000], [0.2467, 0.2467, 0.7406], [0.2467, 0.7406, 0.2467], [0.2563, 0.2563, 0.2563], [0.2594, 0.7533, 0.7533], [0.7406, 0.2467, 0.2467], [0.7437, 0.7437, 0.7437], [0.7533, 0.2594, 0.7533], [0.7533, 0.7533, 0.2594]],
  "space_group": "R-3m (166)",
  "n_ef_per_ev_atom": 0.47,
  "formation_energy_uncorrected_ev_per_atom": -2.003,
  "dft_energy_ev_per_fu": -99.482
}

***

# 8
{
  "formula": "Mg2InCo",
  "functional": "PBE-GGA",
  "state": "optimized geometry",
  "lattice": [[5.0628, -1.7355, 0.0000], [5.0628, 1.7355, 0.0000], [-2.0181, 0.0000, 4.0924]],
  "species": ["Mg", "Mg", "In", "Co"],
  "fractional_positions": [[0.0000, 0.0000, 0.0000], [0.2204, 0.2204, 0.7213], [0.7738, 0.7738, 0.2754], [0.4965, 0.4965, 0.4960]],
  "space_group": "Cm (8)",
  "n_ef_per_ev_atom": 0.38,
  "delta_e_f_ev_per_fu": 0.212,
  "dft_energy_ev_per_fu": -12.822
}

***

# 9
{
  "formula": "LiCoTc2",
  "functional": "PBE-GGA",
  "state": "optimized geometry",
  "lattice": [[2.5559, 0.0000, 0.0000], [0.0000, 4.0501, 0.0000], [-0.9122, 0.0000, 4.9596]],
  "species": ["Li", "Co", "Tc", "Tc"],
  "fractional_positions": [[0.0000, 0.0000, 0.0000], [0.0000, 0.0000, 0.5000], [0.4940, 0.5000, 0.2473], [0.5060, 0.5000, 0.7527]],
  "space_group": "P2/m (10)",
  "n_ef_per_ev_atom": 0.78,
  "delta_e_f_ev_per_fu": 0.890,
  "polymorph_energy_ev_per_fu": 0.18,
  "dft_energy_ev_per_fu": -28.862
}

***

# 10
{
  "formula": "GeRh",
  "functional": "PBE-GGA",
  "state": "optimized geometry",
  "lattice": [[0.0000, 5.0258, 6.5437], [2.8732, 0.0000, 6.5437], [2.8732, 5.0258, 0.0000]],
  "species": ["Ge", "Ge", "Ge", "Ge", "Rh", "Rh", "Rh", "Rh"],
  "fractional_positions": [[0.0648, 0.6852, 0.0648], [0.3148, 0.9352, 0.3148], [0.6852, 0.0648, 0.6852], [0.9352, 0.3148, 0.9352], [0.0099, 0.0099, 0.2401], [0.2401, 0.2401, 0.0099], [0.7599, 0.7599, 0.9901], [0.9901, 0.9901, 0.7599]],
  "space_group": "Fddd (70)",
  "n_ef_per_ev_atom": 0.07,
  "delta_e_f_ev_per_fu": -0.332,
  "dft_energy_ev_per_fu": -12.301
}

***

# 11
{
  "formula": "Tb19Pr4Th6",
  "functional": "PBE-GGA",
  "state": "optimized geometry",
  "lattice": [[-6.2749, 6.2749, 6.2749], [6.2749, -6.2749, 6.2749], [6.2749, 6.2749, -6.2749]],
  "species": ["Tb", "Tb", "Tb", "Tb", "Tb", "Tb", "Tb", "Tb", "Tb", "Tb", "Tb", "Tb", "Tb", "Tb", "Tb", "Tb", "Tb", "Tb", "Tb", "Pr", "Pr", "Pr", "Pr", "Th", "Th", "Th", "Th", "Th", "Th"],
  "fractional_positions": [[0.0000, 0.0000, 0.0000], [0.0000, 0.2654, 0.2654], [0.0000, 0.7346, 0.7346], [0.0187, 0.8045, 0.3422], [0.1955, 0.2142, 0.5377], [0.2142, 0.5377, 0.1955], [0.2654, 0.0000, 0.2654], [0.2654, 0.2654, 0.0000], [0.3235, 0.7858, 0.9813], [0.3422, 0.0187, 0.8045], [0.4623, 0.6765, 0.6578], [0.5377, 0.1955, 0.2142], [0.6578, 0.4623, 0.6765], [0.6765, 0.6578, 0.4623], [0.7346, 0.0000, 0.7346], [0.7346, 0.7346, 0.0000], [0.7858, 0.9813, 0.3235], [0.8045, 0.3422, 0.0187], [0.9813, 0.3235, 0.7858], [0.0000, 0.0000, 0.6406], [0.0000, 0.6406, 0.0000], [0.3594, 0.3594, 0.3594], [0.6406, 0.0000, 0.0000], [0.1288, 0.6288, 0.5000], [0.3712, 0.5000, 0.8712], [0.5000, 0.1288, 0.6288], [0.5000, 0.8712, 0.3712], [0.6288, 0.5000, 0.1288], [0.8712, 0.3712, 0.5000]],
  "space_group": "I23 (197)",
  "n_ef_per_ev_atom": 1.50,
  "delta_e_f_ev_per_fu": 12.355,
  "dft_energy_ev_per_fu": -139.256
}

***

# 12
{
  "formula": "BeCoS3",
  "functional": "PBE-GGA",
  "state": "optimized geometry",
  "lattice": [[4.4026, 0.0000, 0.0000], [0.0000, 4.4026, 0.0000], [0.0000, 0.0000, 4.4026]],
  "species": ["Be", "Co", "S", "S", "S"],
  "fractional_positions": [[0.0000, 0.0000, 0.0000], [0.5000, 0.5000, 0.5000], [0.0000, 0.5000, 0.5000], [0.5000, 0.0000, 0.5000], [0.5000, 0.5000, 0.0000]],
  "space_group": "Pm-3m (221)",
  "n_ef_per_ev_atom": 1.15,
  "polymorph_energy_ev_per_fu": 0.49,
  "formation_energy_uncorrected_ev_per_atom": 0.750,
  "dft_energy_ev_per_fu": -19.465
}

***

# 13
{
  "formula": "ZnRe2TcTe",
  "functional": "PBE-GGA",
  "state": "optimized geometry",
  "lattice": [[4.5716, 0.0000, 0.0000], [0.0000, 4.5716, 0.0000], [0.0000, 0.0000, 4.8169]],
  "species": ["Zn", "Re", "Re", "Tc", "Te"],
  "fractional_positions": [[0.0000, 0.0000, 0.0000], [0.0000, 0.5000, 0.0000], [0.5000, 0.0000, 0.0000], [0.5000, 0.5000, 0.5000], [0.0000, 0.0000, 0.5000]],
  "space_group": "P4/mmm (123)",
  "n_ef_per_ev_atom": 1.14,
  "polymorph_energy_ev_per_fu": 2.14,
  "formation_energy_uncorrected_ev_per_atom": 2.292,
  "dft_energy_ev_per_fu": -28.217
}

***

# 14
{
  "formula": "Na2U2N5",
  "functional": "PBE-GGA",
  "state": "optimized geometry",
  "lattice": [[6.0110, -3.3511, 0.0000], [6.0110, 3.3511, 0.0000], [0.0000, 0.0000, 6.3756]],
  "species": ["Na", "Na", "Na", "Na", "U", "U", "U", "U", "N", "N", "N", "N", "N", "N", "N", "N", "N", "N"],
  "fractional_positions": [[0.2199, 0.2199, 0.0000], [0.2801, 0.2801, 0.5000], [0.7199, 0.7199, 0.5000], [0.7801, 0.7801, 0.0000], [0.1937, 0.8063, 0.6471], [0.3063, 0.6937, 0.1471], [0.6937, 0.3063, 0.8529], [0.8063, 0.1937, 0.3529], [0.0000, 0.0000, 0.0000], [0.0666, 0.7168, 0.3681], [0.2168, 0.5666, 0.8681], [0.2832, 0.9334, 0.3681], [0.4334, 0.7832, 0.8681], [0.5000, 0.5000, 0.5000], [0.5666, 0.2168, 0.1319], [0.7168, 0.0666, 0.6319], [0.7832, 0.4334, 0.1319], [0.9334, 0.2832, 0.6319]],
  "space_group": "Cmce (64)",
  "n_ef_per_ev_atom": 0.38,
  "formation_energy_uncorrected_ev_per_atom": -0.691,
  "dft_energy_ev_per_fu": -73.059
}

***

# 15
{
  "formula": "Sm6MgTl2",
  "functional": "PBE-GGA",
  "state": "optimized geometry",
  "lattice": [[8.2535, -3.8142, 0.0000], [8.2535, 3.8142, 0.0000], [-1.6255, 0.0000, 4.9735]],
  "species": ["Sm", "Sm", "Sm", "Sm", "Sm", "Sm", "Mg", "Tl", "Tl"],
  "fractional_positions": [[0.0837, 0.5838, 0.3335], [0.2495, 0.7505, 0.0000], [0.4162, 0.9163, 0.6665], [0.5838, 0.0837, 0.3335], [0.7505, 0.2495, 0.0000], [0.9163, 0.4162, 0.6665], [0.0000, 0.0000, 0.5000], [0.3334, 0.3334, 0.8332], [0.6666, 0.6666, 0.1668]],
  "space_group": "C2/m (12)",
  "n_ef_per_ev_atom": 1.78,
  "delta_e_f_ev_per_fu": 0.916,
  "dft_energy_ev_per_fu": -33.726
}